Record 1
20
Lattice="11.367 0.000 0.000 0.000 4.159 0.000 0.000 0.000 10.875" Properties=species:S:1:pos:R:3 comment="PmPuSe3 | Alexandria via LeMat-Bulk | PBE-GGA | relaxed" sg=Pnma energy_ev_per_atom=-7.59 e_form_raw_ev_per_atom=-1.686 total_magnetization_mub_per_atom=1.000 pbc="T T T"
Pm 2.206 1.040 0.041
Pm 3.477 3.119 5.479
Pm 7.890 1.040 5.396
Pm 9.161 3.119 10.834
Pu 0.047 1.040 7.481
Pu 5.636 3.119 2.043
Pu 5.731 1.040 8.832
Pu 11.319 3.119 3.395
Se 0.535 3.119 9.477
Se 1.361 1.040 4.834
Se 2.642 3.119 2.216
Se 3.041 1.040 7.654
Se 4.322 3.119 10.272
Se 5.149 1.040 4.039
Se 6.218 3.119 6.837
Se 7.045 1.040 0.603
Se 8.326 3.119 3.222
Se 8.725 1.040 8.660
Se 10.005 3.119 6.041
Se 10.832 1.040 1.399

Record 2
3
Lattice="4.787 0.000 0.000 -2.393 4.145 0.000 0.000 0.000 3.684" Properties=species:S:1:pos:R:3 comment="PmAlIn | Alexandria via LeMat-Bulk | PBE-GGA | relaxed" sg=P-6m2 formation_enthalpy_0k_ev_per_fu=-1.4 energy_ev_per_atom=-4.20 total_magnetization_mub_per_atom=0.000 pbc="T T T"
Pm 0.000 0.000 0.000
Al 0.000 2.763 1.842
In 2.393 1.382 1.842

Record 3
5
Lattice="4.809 0.000 0.000 0.000 4.809 0.000 0.000 0.000 5.394" Properties=species:S:1:pos:R:3 comment="InTeRh2W | Alexandria via LeMat-Bulk | PBE-GGA | relaxed" sg=P4/mmm energy_ev_per_atom=-5.02 e_form_raw_ev_per_atom=1.690 total_magnetization_mub_per_atom=0.635 pbc="T T T"
In 0.000 0.000 0.000
Te 0.000 0.000 2.697
Rh 0.000 2.404 2.697
Rh 2.404 0.000 2.697
W 2.404 2.404 0.000

Record 4
12
Lattice="3.111 -5.385 0.000 3.111 5.385 0.000 -2.065 0.000 11.714" Properties=species:S:1:pos:R:3 comment="Tb6Nd2SmY3 | Alexandria via LeMat-Bulk | PBE-GGA | relaxed" sg=C2/m formation_enthalpy_0k_ev_per_fu=0.2 energy_ev_per_atom=-5.10 total_magnetization_mub_per_atom=0.000 pbc="T T T"
Tb 0.008 1.794 8.813
Tb 1.035 0.000 2.900
Tb 0.008 -1.794 8.813
Tb 4.148 1.794 2.902
Tb 3.121 0.000 8.814
Tb 4.148 -1.794 2.902
Nd 2.078 1.794 5.857
Nd 2.078 -1.794 5.857
Sm -1.032 0.000 5.857
Y 3.111 3.591 0.000
Y 3.111 0.000 0.000
Y 3.111 -3.591 0.000

Record 5
10
Lattice="3.492 0.000 0.000 0.000 3.492 0.000 0.000 0.000 11.354" Properties=species:S:1:pos:R:3 comment="PmPaHN2 | Alexandria via LeMat-Bulk | PBE-GGA | relaxed" sg=P4/nmm energy_ev_per_atom=-8.19 total_magnetization_mub_per_atom=0.000 pbc="T T T"
Pm 0.873 0.873 1.569
Pm 2.619 2.619 9.785
Pa 0.873 0.873 6.982
Pa 2.619 2.619 4.372
H 0.873 2.619 0.000
H 2.619 0.873 0.000
N 0.873 0.873 4.360
N 0.873 0.873 9.070
N 2.619 2.619 2.283
N 2.619 2.619 6.993

Record 6
4
Lattice="0.000 3.402 3.402 3.402 0.000 3.402 3.402 3.402 0.000" Properties=species:S:1:pos:R:3 comment="TbScAlOs | Alexandria via LeMat-Bulk | PBE-GGA | relaxed" sg=F-43m formation_enthalpy_0k_ev_per_fu=-1.3 energy_ev_per_atom=-6.80 total_magnetization_mub_per_atom=0.000 pbc="T T T"
Tb 0.000 0.000 0.000
Sc 3.402 3.402 3.402
Al 1.701 1.701 1.701
Os 5.103 5.103 5.103

Record 7
4
Lattice="3.930 0.000 0.000 0.000 3.930 0.000 0.000 0.000 8.246" Properties=species:S:1:pos:R:3 comment="SrAcInAu | Alexandria via LeMat-Bulk | PBE-GGA | relaxed" sg=P4mm formation_enthalpy_0k_ev_per_fu=-2.4 energy_ev_per_atom=-3.55 total_magnetization_mub_per_atom=0.000 pbc="T T T"
Sr 0.000 0.000 0.000
Ac 0.000 0.000 3.827
In 1.965 1.965 6.052
Au 1.965 1.965 2.011

Record 8
4
Lattice="1.906 1.101 10.480 -1.906 1.101 10.480 0.000 -2.201 10.480" Properties=species:S:1:pos:R:3 comment="YTh2Si | Alexandria via LeMat-Bulk | PBE-GGA | relaxed" sg=R-3m energy_ev_per_atom=-6.58 e_form_raw_ev_per_atom=0.106 total_magnetization_mub_per_atom=0.001 pbc="T T T"
Y 0.000 0.000 0.000
Th 0.000 0.000 3.427
Th 0.000 0.000 28.014
Si 0.000 0.000 15.720